Record 1
HfFeCuBi after structural relaxation. Source: the Open Quantum Materials Database, functional GGA-PBE.

a = 4.706 Å, b = 4.706 Å, c = 4.706 Å
α = 60.00°, β = 60.00°, γ = 60.00°
Sites, in units of the cell vectors:
Hf 0.000 0.000 0.000
Fe 0.250 0.250 0.250
Cu 0.500 0.500 0.500
Bi 0.750 0.750 0.750

Computed properties:
Total moment (Bohr magnetons per cell): 1.93
Energy relative to the lowest polymorph listed for this composition (kJ/mol of formula units): 79.2

Record 2
ThTlB after structural relaxation. Source: the Open Quantum Materials Database, functional GGA-PBE.

a = 4.574 Å, b = 4.574 Å, c = 4.574 Å
α = 60.00°, β = 60.00°, γ = 60.00°
Sites, in units of the cell vectors:
Th 0.000 0.000 0.000
Tl 0.500 0.500 0.500
B 0.250 0.250 0.250

Computed properties:
Total moment (Bohr magnetons per cell): 0.00
Energy relative to the lowest polymorph listed for this composition (kJ/mol of formula units): 0.0

Record 3
TlTcAgSe3 after structural relaxation. Source: the Open Quantum Materials Database, functional GGA-PBE.

a = 12.584 Å, b = 3.365 Å, c = 12.796 Å
α = 90.00°, β = 90.00°, γ = 90.00°
Sites, in units of the cell vectors:
Tl 0.129 0.250 0.021
Tl 0.371 0.750 0.521
Tl 0.629 0.250 0.479
Tl 0.871 0.750 0.979
Tc 0.040 0.250 0.635
Tc 0.460 0.750 0.135
Tc 0.540 0.250 0.865
Tc 0.960 0.750 0.365
Ag 0.229 0.750 0.841
Ag 0.271 0.250 0.341
Ag 0.729 0.750 0.659
Ag 0.771 0.250 0.159
Se 0.024 0.750 0.777
Se 0.090 0.250 0.441
Se 0.236 0.250 0.671
Se 0.264 0.750 0.171
Se 0.410 0.750 0.941
Se 0.476 0.250 0.277
Se 0.524 0.750 0.723
Se 0.590 0.250 0.059
Se 0.736 0.250 0.829
Se 0.764 0.750 0.329
Se 0.910 0.750 0.559
Se 0.976 0.250 0.223

Computed properties:
Total moment (Bohr magnetons per cell): 0.00
Energy relative to the lowest polymorph listed for this composition (kJ/mol of formula units): 19.4

Record 4
KHfAg3O4 after structural relaxation. Source: the Open Quantum Materials Database, functional GGA-PBE.

a = 5.661 Å, b = 5.661 Å, c = 5.661 Å
α = 90.00°, β = 90.00°, γ = 90.00°
Sites, in units of the cell vectors:
K 0.000 0.000 0.000
Hf 0.500 0.500 0.500
Ag 0.000 0.500 0.500
Ag 0.500 0.000 0.500
Ag 0.500 0.500 0.000
O 0.296 0.296 0.296
O 0.296 0.704 0.704
O 0.704 0.296 0.704
O 0.704 0.704 0.296

Computed properties:
Total moment (Bohr magnetons per cell): 0.00

Record 5
TePd15 after structural relaxation. Source: the Open Quantum Materials Database, functional GGA-PBE.

a = 7.690 Å, b = 2.854 Å, c = 33.814 Å
α = 90.00°, β = 90.00°, γ = 90.00°
Sites, in units of the cell vectors:
Te 0.125 0.250 0.307
Te 0.875 0.750 0.693
Pd 0.125 0.250 0.061
Pd 0.125 0.250 0.144
Pd 0.125 0.250 0.227
Pd 0.125 0.250 0.815
Pd 0.125 0.250 0.897
Pd 0.125 0.250 0.979
Pd 0.126 0.250 0.729
Pd 0.375 0.750 0.020
Pd 0.375 0.750 0.103
Pd 0.375 0.750 0.185
Pd 0.375 0.750 0.690
Pd 0.375 0.750 0.773
Pd 0.375 0.750 0.855
Pd 0.375 0.750 0.938
Pd 0.376 0.750 0.271
Pd 0.624 0.250 0.729
Pd 0.625 0.250 0.062
Pd 0.625 0.250 0.145
Pd 0.625 0.250 0.227
Pd 0.625 0.250 0.310
Pd 0.625 0.250 0.815
Pd 0.625 0.250 0.897
Pd 0.625 0.250 0.980
Pd 0.874 0.750 0.271
Pd 0.875 0.750 0.021
Pd 0.875 0.750 0.103
Pd 0.875 0.750 0.185
Pd 0.875 0.750 0.773
Pd 0.875 0.750 0.856
Pd 0.875 0.750 0.939

Computed properties:
Energy relative to the lowest polymorph listed for this composition (kJ/mol of formula units): 98.8

Record 6
CsBiMo after structural relaxation. Source: the Open Quantum Materials Database, functional GGA-PBE.

a = 5.598 Å, b = 5.598 Å, c = 5.598 Å
α = 60.00°, β = 60.00°, γ = 60.00°
Sites, in units of the cell vectors:
Cs 0.000 0.000 0.000
Bi 0.250 0.250 0.250
Mo 0.500 0.500 0.500

Computed properties:
Total moment (Bohr magnetons per cell): 4.00

Record 7
Hf2Ag2Sn after structural relaxation. Source: the Open Quantum Materials Database, functional GGA-PBE.

a = 7.787 Å, b = 5.676 Å, c = 8.788 Å
α = 60.71°, β = 39.47°, γ = 79.82°
Sites, in units of the cell vectors:
Hf 0.255 0.745 0.355
Hf 0.605 0.895 0.505
Hf 0.745 0.255 0.645
Hf 0.895 0.605 0.995
Ag 0.131 0.810 0.088
Ag 0.162 0.280 0.119
Ag 0.280 0.162 0.440
Ag 0.810 0.131 0.970
Sn 0.380 0.380 0.620
Sn 0.630 0.630 0.870

Computed properties:
Total moment (Bohr magnetons per cell): 0.09
Energy relative to the lowest polymorph listed for this composition (kJ/mol of formula units): 0.0

Record 8
NaHfPtSe3 after structural relaxation. Source: the Open Quantum Materials Database, functional GGA-PBE.

a = 7.436 Å, b = 7.436 Å, c = 10.000 Å
α = 90.00°, β = 90.00°, γ = 151.01°
Sites, in units of the cell vectors:
Na 0.228 0.772 0.750
Na 0.772 0.228 0.250
Hf 0.000 0.000 0.000
Hf 0.000 0.000 0.500
Pt 0.472 0.528 0.250
Pt 0.528 0.472 0.750
Se 0.088 0.912 0.250
Se 0.366 0.634 0.048
Se 0.366 0.634 0.452
Se 0.634 0.366 0.548
Se 0.634 0.366 0.952
Se 0.912 0.088 0.750

Computed properties:
Total moment (Bohr magnetons per cell): 0.04

Record 9
BWN3 after structural relaxation. Source: the Open Quantum Materials Database, functional GGA-PBE.

a = 7.560 Å, b = 2.764 Å, c = 4.254 Å
α = 90.00°, β = 90.00°, γ = 90.00°
Sites, in units of the cell vectors:
B 0.250 0.000 0.023
B 0.750 0.000 0.977
W 0.000 0.500 0.500
W 0.500 0.500 0.500
N 0.100 0.000 0.780
N 0.250 0.500 0.225
N 0.400 0.000 0.780
N 0.600 0.000 0.220
N 0.750 0.500 0.775
N 0.900 0.000 0.220

Computed properties:
Total moment (Bohr magnetons per cell): 0.00

Record 10
RbHgNO after structural relaxation. Source: the Open Quantum Materials Database, functional GGA-PBE.

a = 3.870 Å, b = 6.605 Å, c = 6.494 Å
α = 90.00°, β = 90.00°, γ = 90.00°
Sites, in units of the cell vectors:
Rb 0.000 0.220 0.000
Rb 0.000 0.780 0.500
Hg 0.500 0.234 0.500
Hg 0.500 0.766 0.000
N 0.000 0.331 0.499
N 0.000 0.669 0.999
O 0.500 0.001 0.750
O 0.500 0.999 0.250

Computed properties:
Energy relative to the lowest polymorph listed for this composition (kJ/mol of formula units): 0.0

Record 11
Al3Pt after structural relaxation. Source: the Open Quantum Materials Database, functional GGA-PBE.

a = 4.825 Å, b = 4.825 Å, c = 4.825 Å
α = 131.79°, β = 131.79°, γ = 70.56°
Sites, in units of the cell vectors:
Al 0.000 0.000 0.000
Al 0.250 0.750 0.500
Al 0.750 0.250 0.500
Pt 0.500 0.500 0.000

Computed properties:
Total moment (Bohr magnetons per cell): 0.00

Record 12
Dy2MgSnPd4 after structural relaxation. Source: the Open Quantum Materials Database, functional GGA-PBE.

a = 4.775 Å, b = 4.775 Å, c = 6.744 Å
α = 90.00°, β = 90.00°, γ = 90.00°
Sites, in units of the cell vectors:
Dy 0.000 0.000 0.000
Dy 0.500 0.500 0.500
Mg 0.000 0.000 0.500
Sn 0.500 0.500 0.000
Pd 0.000 0.500 0.256
Pd 0.000 0.500 0.744
Pd 0.500 0.000 0.256
Pd 0.500 0.000 0.744

Computed properties:
Total moment (Bohr magnetons per cell): 0.00

Record 13
Li6Sm2O7 after structural relaxation. Source: the Open Quantum Materials Database, functional GGA-PBE.

a = 5.603 Å, b = 5.619 Å, c = 6.222 Å
α = 68.87°, β = 85.58°, γ = 79.54°
Sites, in units of the cell vectors:
Li 0.052 0.214 0.420
Li 0.380 0.636 0.313
Li 0.400 0.743 0.834
Li 0.600 0.257 0.166
Li 0.620 0.364 0.687
Li 0.948 0.786 0.580
Sm 0.141 0.259 0.916
Sm 0.859 0.741 0.084
O 0.069 0.979 0.745
O 0.238 0.457 0.157
O 0.285 0.581 0.621
O 0.500 0.000 0.000
O 0.715 0.419 0.379
O 0.762 0.543 0.843
O 0.931 0.021 0.255

Computed properties:
Total moment (Bohr magnetons per cell): 2.00

Record 14
YCuReSi after structural relaxation. Source: the Open Quantum Materials Database, functional GGA-PBE.

a = 4.598 Å, b = 4.598 Å, c = 4.598 Å
α = 60.00°, β = 60.00°, γ = 60.00°
Sites, in units of the cell vectors:
Y 0.000 0.000 0.000
Cu 0.500 0.500 0.500
Re 0.750 0.750 0.750
Si 0.250 0.250 0.250

Computed properties:
Total moment (Bohr magnetons per cell): 0.04
Energy relative to the lowest polymorph listed for this composition (kJ/mol of formula units): 149.6

Record 15
SrYAgSe3 after structural relaxation. Source: the Open Quantum Materials Database, functional GGA-PBE.

a = 9.293 Å, b = 9.293 Å, c = 8.663 Å
α = 102.70°, β = 102.70°, γ = 25.69°
Sites, in units of the cell vectors:
Sr 0.131 0.131 0.073
Sr 0.869 0.869 0.927
Y 0.165 0.165 0.589
Y 0.835 0.835 0.411
Ag 0.471 0.471 0.288
Ag 0.529 0.529 0.712
Se 0.000 0.000 0.500
Se 0.317 0.317 0.173
Se 0.328 0.328 0.639
Se 0.500 0.500 0.000
Se 0.672 0.672 0.361
Se 0.683 0.683 0.827

Computed properties:
Total moment (Bohr magnetons per cell): 0.01

Record 16
Sr2TaIrN2O4 after structural relaxation. Source: the Open Quantum Materials Database, functional GGA-PBE.

a = 5.653 Å, b = 5.657 Å, c = 7.944 Å
α = 90.17°, β = 90.22°, γ = 90.02°
Sites, in units of the cell vectors:
Sr 0.000 0.000 0.000
Sr 0.006 0.999 0.502
Sr 0.468 0.512 0.997
Sr 0.481 0.511 0.501
Ta 0.507 0.005 0.752
Ta 0.979 0.500 0.255
Ir 0.498 0.018 0.251
Ir 0.968 0.502 0.741
N 0.728 0.264 0.240
N 0.735 0.263 0.768
N 0.750 0.761 0.738
N 0.986 0.480 0.502
O 0.227 0.240 0.766
O 0.233 0.251 0.230
O 0.251 0.743 0.735
O 0.254 0.745 0.265
O 0.480 0.041 0.500
O 0.480 0.972 0.003
O 0.756 0.777 0.265
O 0.996 0.542 0.000

Computed properties:
Total moment (Bohr magnetons per cell): 0.05
Energy relative to the lowest polymorph listed for this composition (kJ/mol of formula units): 7.8

Record 17
PrInPd after structural relaxation. Source: the Open Quantum Materials Database, functional GGA-PBE.

a = 7.333 Å, b = 7.333 Å, c = 4.644 Å
α = 90.00°, β = 90.00°, γ = 120.00°
Sites, in units of the cell vectors:
Pr 0.000 0.561 0.000
Pr 0.439 0.439 0.000
Pr 0.561 0.000 0.000
In 0.000 0.000 0.000
In 0.333 0.667 0.500
In 0.667 0.333 0.500
Pd 0.000 0.236 0.500
Pd 0.236 0.000 0.500
Pd 0.764 0.764 0.500

Computed properties:
Total moment (Bohr magnetons per cell): 0.00

Record 18
SiMo2N after structural relaxation. Source: the Open Quantum Materials Database, functional GGA-PBE.

a = 2.970 Å, b = 2.970 Å, c = 13.104 Å
α = 90.00°, β = 90.00°, γ = 120.00°
Sites, in units of the cell vectors:
Si 0.333 0.667 0.250
Si 0.667 0.333 0.750
Mo 0.333 0.667 0.601
Mo 0.333 0.667 0.899
Mo 0.667 0.333 0.101
Mo 0.667 0.333 0.399
N 0.000 0.000 0.000
N 0.000 0.000 0.500

Computed properties:
Total moment (Bohr magnetons per cell): 0.02
Energy relative to the lowest polymorph listed for this composition (kJ/mol of formula units): 17.7

Record 19
ZrInFePd after structural relaxation. Source: the Open Quantum Materials Database, functional GGA-PBE.

a = 4.617 Å, b = 4.617 Å, c = 4.617 Å
α = 60.00°, β = 60.00°, γ = 60.00°
Sites, in units of the cell vectors:
Zr 0.000 0.000 0.000
In 0.250 0.250 0.250
Fe 0.500 0.500 0.500
Pd 0.750 0.750 0.750

Computed properties:
Total moment (Bohr magnetons per cell): 2.74
Energy relative to the lowest polymorph listed for this composition (kJ/mol of formula units): 95.6

Record 20
Tb2GdSi4Ag4 after structural relaxation. Source: the Open Quantum Materials Database, functional GGA-PBE.

a = 8.226 Å, b = 8.226 Å, c = 8.226 Å
α = 149.81°, β = 129.55°, γ = 59.93°
Sites, in units of the cell vectors:
Tb 0.126 0.126 0.000
Tb 0.874 0.874 0.000
Gd 0.500 0.000 0.500
Si 0.175 0.500 0.675
Si 0.284 0.784 0.500
Si 0.716 0.216 0.500
Si 0.825 0.500 0.325
Ag 0.133 0.331 0.802
Ag 0.470 0.669 0.802
Ag 0.530 0.331 0.198
Ag 0.867 0.669 0.198

Computed properties:
Total moment (Bohr magnetons per cell): 0.00

Computed values of raw total energy (unit: eV per atom) for the preceding records, in sequence: -6.122; -5.124; -4.478; -5.579; -5.015; -3.926; -5.937; -5.569; -9.203; -3.156; -4.765; -5.271; -5.800; -6.397; -5.081; -7.791; -4.802; -8.978; -6.267; -4.776.